Computed, not measured: a geometry-optimized Rb2MoIF6 structure at the PBE+U level of DFT.

The structure in POSCAR format:
```
Rb2MoIF6
1.0
-3.6580 3.6580 4.7436
3.6580 -3.6580 4.7436
3.6580 3.6580 -4.7436
Rb Mo I F
2 1 1 6
direct
0.2500 0.7500 0.5000
0.7500 0.2500 0.5000
0.0000 0.0000 0.0000
0.5000 0.5000 0.0000
0.1911 0.1911 0.3821
0.1911 0.8089 0.0000
0.2161 0.2161 0.0000
0.7839 0.7839 0.0000
0.8089 0.1911 0.0000
0.8089 0.8089 0.6179
```

Output
- energy (eV/atom) = -4.443
- total magnetization (μB per atom) = 0.30